Entry 1:
A geometry-optimized Sc2Pd3Au structure, computed with PBE.

```
data_Sc2Pd3Au
_cell_length_a 8.996
_cell_length_b 8.996
_cell_length_c 8.489
_cell_angle_alpha 122.00
_cell_angle_beta 122.00
_cell_angle_gamma 90.00
_symmetry_space_group_name_H-M 'P 1'
_symmetry_Int_Tables_number 1
loop_
_symmetry_equiv_pos_as_xyz
'x,y,z'
loop_
_atom_site_label
_atom_site_fract_x
_atom_site_fract_y
_atom_site_fract_z
Sc1 0.305 0.113 0.227
Sc2 0.328 0.637 0.273
Au1 0.322 0.322 0.644
Pd1 0.976 0.024 0.500
Au2 0.678 0.678 0.356
Pd2 0.625 0.875 0.750
Pd3 0.274 0.274 0.000
Pd4 0.125 0.875 0.750
Pd5 0.524 0.024 0.500
Sc3 0.363 0.055 0.727
Sc4 0.922 0.113 0.227
Pd6 0.274 0.726 0.000
Pd7 0.726 0.726 0.000
Au3 0.928 0.428 0.856
Pd8 0.976 0.476 0.500
Sc5 0.945 0.637 0.273
Pd9 0.726 0.274 0.000
Sc6 0.887 0.695 0.773
Pd10 0.524 0.476 0.500
Sc7 0.887 0.078 0.773
Pd11 0.125 0.875 0.250
Sc8 0.363 0.672 0.727
Au4 0.572 0.072 0.144
Pd12 0.125 0.375 0.250
```

Computed properties:
- energy above the lowest structure with this stoichiometry (meV/atom) = 59
- ΔE_f (eV/f.u.) = -3.6
- SG = I4_1/amd (141)

=====

Entry 2:
A geometry-optimized Na2Sb2Au structure, computed with PBE.

```
data_Na2Sb2Au
_cell_length_a 4.202
_cell_length_b 4.202
_cell_length_c 9.040
_cell_angle_alpha 76.56
_cell_angle_beta 76.56
_cell_angle_gamma 90.00
_symmetry_space_group_name_H-M 'P 1'
_symmetry_Int_Tables_number 1
loop_
_symmetry_equiv_pos_as_xyz
'x,y,z'
loop_
_atom_site_label
_atom_site_fract_x
_atom_site_fract_y
_atom_site_fract_z
Na1 0.406 0.406 0.188
Na2 0.594 0.594 0.812
Sb1 0.750 0.250 0.500
Sb2 0.250 0.750 0.500
Au1 0.000 0.000 0.000
```

Computed properties:
- energy above the lowest structure with this stoichiometry (meV/atom) = 250
- raw formation energy (eV/atom) = -0.0977
- SG = I4/mmm (139)

=====

Entry 3:
A geometry-optimized Na2CaNbO4 structure, computed with PBE.

```
data_Na2CaNbO4
_cell_length_a 5.605
_cell_length_b 5.605
_cell_length_c 5.605
_cell_angle_alpha 92.57
_cell_angle_beta 118.53
_cell_angle_gamma 118.53
_symmetry_space_group_name_H-M 'P 1'
_symmetry_Int_Tables_number 1
loop_
_symmetry_equiv_pos_as_xyz
'x,y,z'
loop_
_atom_site_label
_atom_site_fract_x
_atom_site_fract_y
_atom_site_fract_z
Ca1 0.500 0.250 0.750
O1 0.020 0.191 0.631
Nb1 0.000 0.500 0.500
Na1 0.000 0.000 0.000
O2 0.980 0.611 0.171
O3 0.560 0.369 0.389
Na2 0.500 0.750 0.250
O4 0.440 0.829 0.809
```

Computed properties:
- raw formation energy (eV/atom) = -2.1946
- SG = I-4 (82)

=====

Entry 4:
A geometry-optimized Ba2TbHoS4 structure, computed with PBE.

```
data_Ba2TbHoS4
_cell_length_a 4.121
_cell_length_b 7.117
_cell_length_c 7.522
_cell_angle_alpha 108.49
_cell_angle_beta 90.00
_cell_angle_gamma 90.00
_symmetry_space_group_name_H-M 'P 1'
_symmetry_Int_Tables_number 1
loop_
_symmetry_equiv_pos_as_xyz
'x,y,z'
loop_
_atom_site_label
_atom_site_fract_x
_atom_site_fract_y
_atom_site_fract_z
S1 0.500 0.766 0.792
S2 0.000 0.261 0.791
Tb1 0.500 0.500 0.000
Ba1 0.000 0.500 0.500
S3 0.000 0.739 0.209
Ho1 0.000 0.000 0.000
Ba2 0.500 0.000 0.500
S4 0.500 0.234 0.208
```

Computed properties:
- raw formation energy (eV/atom) = -2.0076
- SG = P2/m (10)

=====

| no. | raw total energy (eV per cell) |
| --- | --- |
| 1 | -140.41 |
| 2 | -14.65 |
| 3 | -52.10 |
| 4 | -45.62 |